# ZrFe2Rh (PBE, optimized geometry)
data_ZrFe2Rh
_space_group_name_H-M_alt 'R -3 m'
_space_group_IT_number 166
_space_group_name_Hall '-R 3 2"'
_cell_length_a 2.8464
_cell_length_b 2.8464
_cell_length_c 26.5432
_cell_angle_alpha 90.00
_cell_angle_beta 90.00
_cell_angle_gamma 120.00
loop_
_atom_site_label
_atom_site_type_symbol
_atom_site_fract_x
_atom_site_fract_y
_atom_site_fract_z
Zr1 Zr 0.0000 0.0000 0.0000
Fe1 Fe 0.0000 0.0000 0.2432
Rh1 Rh 0.0000 0.0000 0.5000
# V ... 15.520 Å³ per atom
# Energy ... -31.9 eV/f.u.
# Magnetic moment ... 6.37 μB per formula unit